Entry 1:
10
Lattice="4.777 0.000 0.000 0.000 4.777 0.000 0.000 0.000 10.159" Properties=species:S:1:pos:R:3 comment="YSb2Pt2 (PBE-GGA, relaxed)" raw_formation_energy_ev_per_atom=-0.577 sg="No. 139" e_tot_ev_per_atom=-5.936 magnetic_moment_mub_per_cell=0.00 pbc="T T T"
Y 0.000 0.000 0.000
Y 2.388 2.388 5.080
Sb 0.000 0.000 3.682
Sb 0.000 0.000 6.477
Sb 2.388 2.388 1.398
Sb 2.388 2.388 8.762
Pt 0.000 2.388 2.540
Pt 0.000 2.388 7.619
Pt 2.388 0.000 2.540
Pt 2.388 0.000 7.619

***

Entry 2:
4
Lattice="4.436 0.000 0.000 0.000 4.269 0.000 -1.376 0.000 5.362" Properties=species:S:1:pos:R:3 comment="YSb2Pt (PBE-GGA, relaxed)" raw_formation_energy_ev_per_atom=-0.599 sg="No. 10" e_tot_ev_per_atom=-5.787 magnetic_moment_mub_per_cell=0.00 pbc="T T T"
Y 0.000 0.000 0.000
Sb 0.456 2.135 3.921
Sb 2.604 2.135 1.441
Pt 1.530 0.000 2.681

***

Entry 3:
5
Lattice="5.398 0.000 0.000 0.000 5.398 0.000 0.000 0.000 4.774" Properties=species:S:1:pos:R:3 comment="Y2ZnSbPt (PBE-GGA, relaxed)" raw_formation_energy_ev_per_atom=-0.604 sg="No. 123" e_tot_ev_per_atom=-5.477 magnetic_moment_mub_per_cell=0.00 pbc="T T T"
Y 0.000 2.699 0.000
Y 2.699 0.000 0.000
Zn 0.000 0.000 2.387
Sb 2.699 2.699 2.387
Pt 0.000 0.000 0.000

***

Entry 4:
12
Lattice="6.638 0.000 0.000 0.000 6.638 0.000 0.000 0.000 6.638" Properties=species:S:1:pos:R:3 comment="YbSbPt (PBE-GGA, relaxed)" raw_formation_energy_ev_per_atom=-0.972 sg="No. 216" e_tot_ev_per_atom=-4.868 magnetic_moment_mub_per_cell=1.35 pbc="T T T"
Yb 0.000 0.000 0.000
Yb 0.000 3.319 3.319
Yb 3.319 0.000 3.319
Yb 3.319 3.319 0.000
Sb 0.000 0.000 3.319
Sb 0.000 3.319 0.000
Sb 3.319 0.000 0.000
Sb 3.319 3.319 3.319
Pt 1.660 1.660 4.979
Pt 1.660 4.979 1.660
Pt 4.979 1.660 1.660
Pt 4.979 4.979 4.979

***

Entry 5:
10
Lattice="3.634 0.000 0.000 0.000 3.634 0.000 0.000 0.000 13.253" Properties=species:S:1:pos:R:3 comment="Zn2SbPt2 (PBE-GGA, relaxed)" de_polymorph_mev_per_atom=53 raw_formation_energy_ev_per_atom=-0.336 sg="No. 139" e_tot_ev_per_atom=-4.087 magnetic_moment_mub_per_cell=0.00 pbc="T T T"
Zn 0.000 1.817 3.313
Zn 0.000 1.817 9.940
Zn 1.817 0.000 3.313
Zn 1.817 0.000 9.940
Sb 0.000 0.000 0.000
Sb 1.817 1.817 6.627
Pt 0.000 0.000 5.229
Pt 0.000 0.000 8.024
Pt 1.817 1.817 1.397
Pt 1.817 1.817 11.856

***

Entry 6:
16
Lattice="4.050 0.000 0.000 0.000 4.050 0.000 0.000 0.000 16.187" Properties=species:S:1:pos:R:3 comment="ZnSb3Pt12 (PBE-GGA, relaxed)" raw_formation_energy_ev_per_atom=-0.233 sg="No. 123" e_tot_ev_per_atom=-5.616 magnetic_moment_mub_per_cell=0.00 pbc="T T T"
Zn 0.000 0.000 0.000
Sb 0.000 0.000 3.829
Sb 0.000 0.000 8.094
Sb 0.000 0.000 12.358
Pt 0.000 2.025 1.920
Pt 0.000 2.025 6.053
Pt 0.000 2.025 10.135
Pt 0.000 2.025 14.267
Pt 2.025 0.000 1.920
Pt 2.025 0.000 6.053
Pt 2.025 0.000 10.135
Pt 2.025 0.000 14.267
Pt 2.025 2.025 0.000
Pt 2.025 2.025 4.053
Pt 2.025 2.025 8.094
Pt 2.025 2.025 12.134